1 | # VSnGe, relaxed, DFT GGA-PBE
data_VSnGe
_chemical_formula_sum 'V4 Sn4 Ge4'
_symmetry_space_group_name_H-M 'P 1'
_symmetry_Int_Tables_number 1
_cell_length_a 4.344
_cell_length_b 6.228
_cell_length_c 8.653
_cell_angle_alpha 90.00
_cell_angle_beta 90.00
_cell_angle_gamma 90.00
loop_
_symmetry_equiv_pos_as_xyz
'x,y,z'
loop_
_atom_site_label
_atom_site_type_symbol
_atom_site_fract_x
_atom_site_fract_y
_atom_site_fract_z
Sn1 Sn 0.750 0.183 0.123
Sn2 Sn 0.750 0.317 0.623
V1 V 0.250 0.484 0.081
Sn3 Sn 0.250 0.817 0.877
Ge1 Ge 0.750 0.763 0.664
Ge2 Ge 0.750 0.737 0.164
Ge3 Ge 0.250 0.237 0.336
V2 V 0.750 0.984 0.419
V3 V 0.750 0.516 0.919
Sn4 Sn 0.250 0.683 0.377
Ge4 Ge 0.250 0.263 0.836
V4 V 0.250 0.016 0.581
# density: 6.874 g cm⁻³
# symmetry: Pnma (62)
# calculated volume: 234 Å³/cell

=====

2 | # VSnGe, relaxed, DFT GGA-PBE
data_VSnGe
_chemical_formula_sum 'V1 Sn1 Ge1'
_symmetry_space_group_name_H-M 'P 1'
_symmetry_Int_Tables_number 1
_cell_length_a 3.655
_cell_length_b 4.257
_cell_length_c 4.257
_cell_angle_alpha 120.00
_cell_angle_beta 90.00
_cell_angle_gamma 90.00
loop_
_symmetry_equiv_pos_as_xyz
'x,y,z'
loop_
_atom_site_label
_atom_site_type_symbol
_atom_site_fract_x
_atom_site_fract_y
_atom_site_fract_z
Ge1 Ge 0.167 0.000 0.000
V1 V 0.167 0.333 0.667
Sn1 Sn 0.667 0.667 0.333
# density: 7.014 g cm⁻³
# symmetry: P-6m2 (187)
# calculated volume: 57 Å³/cell

=====

The data favor 1; the next most stable structure lies 265 meV/atom above it.

=====

1 | # SnGeW3, relaxed, DFT GGA-PBE
data_SnGeW3
_chemical_formula_sum 'Sn1 Ge1 W3'
_symmetry_space_group_name_H-M 'P 1'
_symmetry_Int_Tables_number 1
_cell_length_a 4.915
_cell_length_b 4.915
_cell_length_c 4.915
_cell_angle_alpha 90.00
_cell_angle_beta 90.00
_cell_angle_gamma 90.00
loop_
_symmetry_equiv_pos_as_xyz
'x,y,z'
loop_
_atom_site_label
_atom_site_type_symbol
_atom_site_fract_x
_atom_site_fract_y
_atom_site_fract_z
Ge1 Ge 0.500 0.500 0.500
W1 W 0.000 0.500 0.000
W2 W 0.000 0.000 0.500
W3 W 0.500 0.000 0.000
Sn1 Sn 0.000 0.000 0.000
# density: 10.386 g cm⁻³
# symmetry: Pm-3m (221)
# calculated volume: 119 Å³/cell

=====

2 | # SnGeW3, relaxed, DFT GGA-PBE
data_SnGeW3
_chemical_formula_sum 'Sn1 Ge1 W3'
_symmetry_space_group_name_H-M 'P 1'
_symmetry_Int_Tables_number 1
_cell_length_a 4.642
_cell_length_b 4.642
_cell_length_c 4.642
_cell_angle_alpha 90.00
_cell_angle_beta 90.00
_cell_angle_gamma 90.00
loop_
_symmetry_equiv_pos_as_xyz
'x,y,z'
loop_
_atom_site_label
_atom_site_type_symbol
_atom_site_fract_x
_atom_site_fract_y
_atom_site_fract_z
Sn1 Sn 0.500 0.500 0.500
Ge1 Ge 0.000 0.000 0.000
W1 W 0.500 0.000 0.000
W2 W 0.000 0.000 0.500
W3 W 0.000 0.500 0.000
# density: 12.333 g cm⁻³
# symmetry: Pm-3m (221)
# calculated volume: 100 Å³/cell

=====

The data favor 2; the next most stable structure lies 1217 meV/atom above it.

=====

1 | # Y4Sn2Ge, relaxed, DFT GGA-PBE
data_Y4Sn2Ge
_chemical_formula_sum 'Y4 Sn2 Ge1'
_symmetry_space_group_name_H-M 'P 1'
_symmetry_Int_Tables_number 1
_cell_length_a 5.223
_cell_length_b 5.223
_cell_length_c 8.878
_cell_angle_alpha 72.89
_cell_angle_beta 72.89
_cell_angle_gamma 90.00
loop_
_symmetry_equiv_pos_as_xyz
'x,y,z'
loop_
_atom_site_label
_atom_site_type_symbol
_atom_site_fract_x
_atom_site_fract_y
_atom_site_fract_z
Y1 Y 0.175 0.175 0.650
Ge1 Ge 0.000 0.000 0.000
Sn1 Sn 0.367 0.367 0.267
Y2 Y 0.500 0.000 0.000
Y3 Y 0.000 0.500 0.000
Sn2 Sn 0.633 0.633 0.733
Y4 Y 0.825 0.825 0.350
# density: 5.018 g cm⁻³
# symmetry: I4/mmm (139)
# calculated volume: 220 Å³/cell

=====

2 | # Y4Sn2Ge, relaxed, DFT GGA-PBE
data_Y4Sn2Ge
_chemical_formula_sum 'Y4 Sn2 Ge1'
_symmetry_space_group_name_H-M 'P 1'
_symmetry_Int_Tables_number 1
_cell_length_a 4.610
_cell_length_b 8.697
_cell_length_c 7.760
_cell_angle_alpha 136.15
_cell_angle_beta 107.28
_cell_angle_gamma 90.00
loop_
_symmetry_equiv_pos_as_xyz
'x,y,z'
loop_
_atom_site_label
_atom_site_type_symbol
_atom_site_fract_x
_atom_site_fract_y
_atom_site_fract_z
Sn1 Sn 0.354 0.373 0.708
Y1 Y 0.674 0.279 0.348
Ge1 Ge 0.000 0.000 0.000
Sn2 Sn 0.646 0.627 0.292
Y2 Y 0.326 0.721 0.652
Y3 Y 0.918 0.208 0.836
Y4 Y 0.082 0.792 0.164
# density: 5.677 g cm⁻³
# symmetry: C2/m (12)
# calculated volume: 195 Å³/cell

=====

The data favor 2; the next most stable structure lies 223 meV/atom above it.

=====

1 | # Y3SnGe, relaxed, DFT GGA-PBE
data_Y3SnGe
_chemical_formula_sum 'Y3 Sn1 Ge1'
_symmetry_space_group_name_H-M 'P 1'
_symmetry_Int_Tables_number 1
_cell_length_a 5.369
_cell_length_b 5.369
_cell_length_c 5.369
_cell_angle_alpha 90.00
_cell_angle_beta 90.00
_cell_angle_gamma 90.00
loop_
_symmetry_equiv_pos_as_xyz
'x,y,z'
loop_
_atom_site_label
_atom_site_type_symbol
_atom_site_fract_x
_atom_site_fract_y
_atom_site_fract_z
Ge1 Ge 0.000 0.000 0.000
Y1 Y 0.000 0.500 0.000
Sn1 Sn 0.500 0.500 0.500
Y2 Y 0.500 0.000 0.000
Y3 Y 0.000 0.000 0.500
# density: 4.913 g cm⁻³
# symmetry: Pm-3m (221)
# calculated volume: 155 Å³/cell

=====

2 | # Y3SnGe, relaxed, DFT GGA-PBE
data_Y3SnGe
_chemical_formula_sum 'Y6 Sn2 Ge2'
_symmetry_space_group_name_H-M 'P 1'
_symmetry_Int_Tables_number 1
_cell_length_a 7.220
_cell_length_b 7.206
_cell_length_c 8.133
_cell_angle_alpha 63.63
_cell_angle_beta 63.62
_cell_angle_gamma 59.94
loop_
_symmetry_equiv_pos_as_xyz
'x,y,z'
loop_
_atom_site_label
_atom_site_type_symbol
_atom_site_fract_x
_atom_site_fract_y
_atom_site_fract_z
Y1 Y 0.588 0.008 0.231
Sn1 Sn 0.628 0.628 0.115
Ge1 Ge 0.834 0.835 0.498
Y2 Y 0.412 0.992 0.769
Y3 Y 0.826 0.412 0.769
Ge2 Ge 0.166 0.165 0.502
Y4 Y 0.992 0.826 0.769
Sn2 Sn 0.372 0.372 0.885
Y5 Y 0.174 0.588 0.231
Y6 Y 0.008 0.174 0.231
# density: 4.839 g cm⁻³
# symmetry: P-1 (2)
# calculated volume: 314 Å³/cell

=====

The data favor 2; the next most stable structure lies 97 meV/atom above it.

=====

1 | # Zn2SnGe, relaxed, DFT GGA-PBE
data_Zn2SnGe
_chemical_formula_sum 'Zn2 Sn1 Ge1'
_symmetry_space_group_name_H-M 'P 1'
_symmetry_Int_Tables_number 1
_cell_length_a 4.090
_cell_length_b 4.090
_cell_length_c 6.227
_cell_angle_alpha 72.35
_cell_angle_beta 72.35
_cell_angle_gamma 60.32
loop_
_symmetry_equiv_pos_as_xyz
'x,y,z'
loop_
_atom_site_label
_atom_site_type_symbol
_atom_site_fract_x
_atom_site_fract_y
_atom_site_fract_z
Zn1 Zn 0.067 0.067 0.793
Zn2 Zn 0.264 0.264 0.207
Sn1 Sn 0.503 0.503 0.498
Ge1 Ge 0.665 0.665 0.002
# density: 6.312 g cm⁻³
# symmetry: Cm (8)
# calculated volume: 85 Å³/cell

=====

2 | # Zn2SnGe, relaxed, DFT GGA-PBE
data_Zn2SnGe
_chemical_formula_sum 'Zn2 Sn1 Ge1'
_symmetry_space_group_name_H-M 'P 1'
_symmetry_Int_Tables_number 1
_cell_length_a 3.346
_cell_length_b 3.346
_cell_length_c 7.115
_cell_angle_alpha 90.00
_cell_angle_beta 90.00
_cell_angle_gamma 90.00
loop_
_symmetry_equiv_pos_as_xyz
'x,y,z'
loop_
_atom_site_label
_atom_site_type_symbol
_atom_site_fract_x
_atom_site_fract_y
_atom_site_fract_z
Zn1 Zn 0.000 0.000 0.214
Zn2 Zn 0.000 0.000 0.786
Ge1 Ge 0.500 0.500 0.000
Sn1 Sn 0.500 0.500 0.500
# density: 6.716 g cm⁻³
# symmetry: P4/mmm (123)
# calculated volume: 80 Å³/cell

=====

The data favor 1; the next most stable structure lies 44 meV/atom above it.

=====

1 | # ZnSnGe3, relaxed, DFT GGA-PBE
data_ZnSnGe3
_chemical_formula_sum 'Zn1 Sn1 Ge3'
_symmetry_space_group_name_H-M 'P 1'
_symmetry_Int_Tables_number 1
_cell_length_a 4.894
_cell_length_b 4.894
_cell_length_c 4.894
_cell_angle_alpha 90.00
_cell_angle_beta 90.00
_cell_angle_gamma 90.00
loop_
_symmetry_equiv_pos_as_xyz
'x,y,z'
loop_
_atom_site_label
_atom_site_type_symbol
_atom_site_fract_x
_atom_site_fract_y
_atom_site_fract_z
Zn1 Zn 0.000 0.000 0.000
Ge1 Ge 0.000 0.500 0.000
Ge2 Ge 0.000 0.000 0.500
Sn1 Sn 0.500 0.500 0.500
Ge3 Ge 0.500 0.000 0.000
# density: 5.696 g cm⁻³
# symmetry: Pm-3m (221)
# calculated volume: 117 Å³/cell

=====

2 | # ZnSnGe3, relaxed, DFT GGA-PBE
data_ZnSnGe3
_chemical_formula_sum 'Zn1 Sn1 Ge3'
_symmetry_space_group_name_H-M 'P 1'
_symmetry_Int_Tables_number 1
_cell_length_a 5.320
_cell_length_b 5.320
_cell_length_c 5.320
_cell_angle_alpha 90.00
_cell_angle_beta 90.00
_cell_angle_gamma 90.00
loop_
_symmetry_equiv_pos_as_xyz
'x,y,z'
loop_
_atom_site_label
_atom_site_type_symbol
_atom_site_fract_x
_atom_site_fract_y
_atom_site_fract_z
Sn1 Sn 0.000 0.000 0.000
Ge1 Ge 0.000 0.000 0.500
Ge2 Ge 0.000 0.500 0.000
Zn1 Zn 0.500 0.500 0.500
Ge3 Ge 0.500 0.000 0.000
# density: 4.434 g cm⁻³
# symmetry: Pm-3m (221)
# calculated volume: 151 Å³/cell

=====

The data favor 1; the next most stable structure lies 468 meV/atom above it.